1.
## Sc3Ag2Pd2 (PBE-GGA)

Data for a geometry-optimized Sc3Ag2Pd2 structure.

```
Sc3Ag2Pd2
1.0
-3.834 2.070 -2.636
2.319 -2.957 -2.140
-3.273 -3.665 5.878
Sc Ag Pd
3 2 2
direct
0.000 0.000 0.000
0.483 0.090 0.696
0.517 0.910 0.304
0.757 0.450 0.144
0.243 0.550 0.856
0.164 0.293 0.422
0.836 0.707 0.578
```

total energy	-38.54	eV/f.u.
N(E_F)	5.40	states/eV/cell
SG	No. 12


2.
## La2Tb5SmHo (PBE-GGA)

Data for a geometry-optimized La2Tb5SmHo structure.

```
La2Tb5SmHo
1.0
-2.797 -4.440 -6.899
0.012 -7.291 4.687
-6.169 7.250 3.280
La Tb Sm Ho
4 10 2 2
direct
0.118 0.382 0.000
0.618 0.118 0.000
0.382 0.882 0.000
0.882 0.618 0.000
0.925 0.425 0.284
0.641 0.141 0.716
0.075 0.575 0.716
0.141 0.075 0.716
0.575 0.641 0.716
0.859 0.925 0.284
0.425 0.359 0.284
0.359 0.859 0.284
0.500 0.500 0.000
0.000 0.000 0.000
0.250 0.250 0.500
0.750 0.750 0.500
0.250 0.750 0.500
0.750 0.250 0.500
```

total energy	-40.01	eV/f.u.
N(E_F)	25.54	states/eV/cell
SG	No. 140


Q: The lowest total energy belongs to which entry?
A: La2Tb5SmHo


Q: Look up the N(E_F) of the first one.
A: 5.40 states/eV/cell


Copy entry 1 word for word.
## Sc3Ag2Pd2 (PBE-GGA)

Data for a geometry-optimized Sc3Ag2Pd2 structure.

```
Sc3Ag2Pd2
1.0
-3.834 2.070 -2.636
2.319 -2.957 -2.140
-3.273 -3.665 5.878
Sc Ag Pd
3 2 2
direct
0.000 0.000 0.000
0.483 0.090 0.696
0.517 0.910 0.304
0.757 0.450 0.144
0.243 0.550 0.856
0.164 0.293 0.422
0.836 0.707 0.578
```

total energy	-38.54	eV/f.u.
N(E_F)	5.40	states/eV/cell
SG	No. 12